No. 1
{"formula": "NbCo2Cu", "functional": "PBE", "state": "relaxed", "spacegroup": "Fm-3m, No. 225", "final_energy_ev_per_cell": -28.6, "dos_at_fermi_per_ev_atom": 0.17, "e_above_lowest_polymorph_kcal_per_mol_atoms": 0.26, "lattice_angstrom": [[4.147, 0.000, 0.000], [2.073, 3.591, 0.000], [2.073, 1.197, 3.386]], "species": ["Nb", "Co", "Co", "Cu"], "frac_coords": [[0.000, 0.000, 0.000], [0.250, 0.250, 0.250], [0.750, 0.750, 0.750], [0.500, 0.500, 0.500]]}

***

No. 2
{"formula": "ZrAlTc", "functional": "PBE", "state": "relaxed", "spacegroup": "F-43m, No. 216", "final_energy_ev_per_cell": -22.0, "dos_at_fermi_per_ev_atom": 0.65, "e_above_lowest_polymorph_kcal_per_mol_atoms": 16.78, "lattice_angstrom": [[-0.517, 1.808, -3.923], [-3.141, -1.421, -2.653], [-3.467, 2.502, -0.802]], "species": ["Tc", "Zr", "Al"], "frac_coords": [[0.000, 0.000, 0.000], [0.500, 0.500, 0.500], [0.250, 0.250, 0.250]]}

***

No. 3
{"formula": "LiEuGdSb", "functional": "PBE", "state": "relaxed", "spacegroup": "F-43m, No. 216", "formation_energy_uncorrected_ev_per_fu": -2.030, "final_energy_ev_per_cell": -32.4, "dos_at_fermi_per_ev_atom": 1.04, "lattice_angstrom": [[5.368, 0.000, 0.000], [2.684, 4.648, 0.000], [2.684, 1.549, 4.383]], "species": ["Eu", "Sb", "Gd", "Li"], "frac_coords": [[0.750, 0.750, 0.750], [0.500, 0.500, 0.500], [0.250, 0.250, 0.250], [0.000, 0.000, 0.000]]}

***

No. 4
{"formula": "Sm3Ni8Pd", "functional": "PBE", "state": "relaxed", "spacegroup": "R3m, No. 160", "final_energy_ev_per_cell": -69.9, "dos_at_fermi_per_ev_atom": 1.11, "lattice_angstrom": [[4.821, 0.000, 1.455], [2.191, 4.295, 1.455], [-0.015, -0.009, 8.762]], "species": ["Sm", "Sm", "Sm", "Ni", "Ni", "Ni", "Ni", "Ni", "Ni", "Ni", "Ni", "Pd"], "frac_coords": [[0.378, 0.378, 0.867], [0.989, 0.989, 0.032], [0.508, 0.508, 0.476], [0.941, 0.436, 0.187], [0.441, 0.938, 0.683], [0.436, 0.436, 0.187], [0.938, 0.938, 0.683], [0.188, 0.188, 0.436], [0.688, 0.688, 0.936], [0.436, 0.941, 0.187], [0.938, 0.441, 0.683], [0.870, 0.870, 0.390]]}

***

No. 5
{"formula": "Li2Al6Cr", "functional": "PBE", "state": "relaxed", "spacegroup": "P-62m, No. 189", "final_energy_ev_per_cell": -35.8, "dos_at_fermi_per_ev_atom": 0.44, "lattice_angstrom": [[-1.336, 1.755, 1.820], [-0.443, -5.570, 5.044], [5.973, 4.581, -0.033]], "species": ["Li", "Li", "Al", "Al", "Al", "Al", "Al", "Al", "Cr"], "frac_coords": [[0.000, 0.333, 0.667], [0.000, 0.667, 0.333], [0.000, 0.705, 0.000], [0.000, 0.000, 0.705], [0.000, 0.295, 0.295], [0.500, 0.637, 0.637], [0.500, 0.000, 0.363], [0.500, 0.363, 0.000], [0.500, 0.000, 0.000]]}

***

No. 6
{"formula": "LiZrAs2", "functional": "PBE", "state": "relaxed", "spacegroup": "Cmm2, No. 35", "final_energy_ev_per_cell": -20.2, "dos_at_fermi_per_ev_atom": 0.64, "e_above_lowest_polymorph_kcal_per_mol_atoms": 15.97, "lattice_angstrom": [[2.863, 0.038, 0.000], [-0.130, 2.860, 0.000], [0.000, 0.000, 10.739]], "species": ["As", "As", "Li", "Zr"], "frac_coords": [[0.000, 0.000, 0.940], [0.500, 0.500, 0.319], [0.000, 0.000, 0.496], [0.500, 0.500, 0.745]]}